No. 1
# Pa2Nb2C3, relaxed, DFT PBE
data_Pa2Nb2C3
_chemical_formula_sum 'Pa4 Nb4 C6'
_cell_length_a 11.755
_cell_length_b 3.373
_cell_length_c 5.839
_cell_angle_alpha 90.00
_cell_angle_beta 107.91
_cell_angle_gamma 90.00
_space_group_name_H-M_alt 'C 1 2/m 1'
_space_group_IT_number 12
loop_
_space_group_symop_operation_xyz
'x,y,z'
'-x,-y,-z'
'-x,y,-z'
'x,-y,z'
'x+1/2,y+1/2,z'
'-x+1/2,-y+1/2,-z'
'-x+1/2,y+1/2,-z'
'x+1/2,-y+1/2,z'
loop_
_atom_site_label
_atom_site_type_symbol
_atom_site_fract_x
_atom_site_fract_y
_atom_site_fract_z
_atom_site_occupancy
Pa1 Pa 0.114 0.000 0.340 1
Nb1 Nb 0.147 0.500 0.850 1
C1 C 0.000 0.500 0.500 1
C2 C 0.248 0.000 0.755 1
# - size of the total moment (μB/f.u.) = 0.00
# - energy of formation from the pure elements (kcal/mol of atoms) = -10.6
# - calculated density (g/cm³) = 10.3
# - E_tot (eV per atom) = -10.004

No. 2
# CeTh2RuN4, relaxed, DFT PBE
data_CeTh2RuN4
_chemical_formula_sum 'Ce4 Th8 Ru4 N16'
_cell_length_a 3.468
_cell_length_b 11.990
_cell_length_c 12.041
_cell_angle_alpha 90.00
_cell_angle_beta 90.00
_cell_angle_gamma 90.00
_space_group_name_H-M_alt 'C m c m'
_space_group_IT_number 63
_space_group_name_Hall '-C 2c 2'
loop_
_atom_site_label
_atom_site_type_symbol
_atom_site_fract_x
_atom_site_fract_y
_atom_site_fract_z
_atom_site_occupancy
Ce1 Ce 0.000 0.110 0.250 1
Th1 Th 0.000 0.369 0.056 1
Ru1 Ru 0.000 0.150 0.750 1
N1 N 0.000 0.000 0.000 1
N2 N 0.000 0.280 0.629 1
N3 N 0.000 0.458 0.250 1
# - ΔE_f (raw) (eV/atom) = -1.13
# - size of the total moment (μB/f.u.) = 0.00
# - calculated density (g/cm³) = 10.1
# - E_tot (eV per atom) = -9.044